Material: K2CoS2O10
Method: DFT, PBE with a Hubbard U
State: optimized geometry

abc: 4.8896 14.6106 7.3870
angles: 90.00 115.58 90.00
With the nearest neighbours (Å) after each atom.
Fractional positions:
K: 0.1871 0.1545 0.3733  8 O 2.79-3.02
K: 0.1871 0.3455 0.8733  8 O 2.79-3.02
K: 0.8129 0.6545 0.1267  8 O 2.79-3.02
K: 0.8129 0.8455 0.6267  8 O 2.79-3.02
Co: 0.5000 0.0000 0.0000  4 O 1.75-1.90
Co: 0.5000 0.5000 0.5000  4 O 1.75-1.90
S: 0.1072 0.6057 0.7074  4 O 1.46-1.55
S: 0.1072 0.8943 0.2074  4 O 1.46-1.55
S: 0.8928 0.1057 0.7926  4 O 1.46-1.55
S: 0.8928 0.3943 0.2926  4 O 1.46-1.55
O: 0.0483 0.1674 0.9654  1 S 1.48
O: 0.0483 0.3326 0.4654  1 S 1.48
O: 0.0823 0.0168 0.8251  1 S 1.55
O: 0.0823 0.4832 0.3251  1 S 1.55
O: 0.1498 0.6468 0.8981  1 S 1.46
O: 0.1498 0.8532 0.3981  1 S 1.46
O: 0.4075 0.5741 0.7230  1 S 1.50
O: 0.4075 0.9259 0.2230  1 S 1.50
O: 0.4695 0.6011 0.3665  1 Co 1.75
O: 0.4695 0.8989 0.8665  1 Co 1.75
O: 0.5305 0.1011 0.1335  1 Co 1.75
O: 0.5305 0.3989 0.6335  1 Co 1.75
O: 0.5925 0.0741 0.7770  1 S 1.50
O: 0.5925 0.4259 0.2770  1 S 1.50
O: 0.8502 0.1468 0.6019  1 S 1.46
O: 0.8502 0.3532 0.1019  1 S 1.46
O: 0.9177 0.5168 0.6749  1 S 1.55
O: 0.9177 0.9832 0.1749  1 S 1.55
O: 0.9517 0.6674 0.5346  1 S 1.48
O: 0.9517 0.8326 0.0346  1 S 1.48

Computed properties:
total DFT energy (no corrections): -5.5585 eV/atom